The following is a DFT calculation (PBE) of a geometry-optimized TaFeTe2 structure.

a = 9.1306 Å, b = 9.1306 Å, c = 9.1306 Å
α = 22.21°, β = 22.21°, γ = 22.21°
Fractional coordinates of all 4 atoms:
Te (0.9052, 0.9052, 0.9052)
Te (0.0948, 0.0948, 0.0948)
Fe (0.0000, 0.0000, 0.0000)
Ta (0.5000, 0.5000, 0.5000)

Computed properties:
- Raw formation energy: 0.35 eV per atom
- Final energy: -6.30 eV/atom
- DOS(E_F): 4.3 states/eV/f.u.

***

The following is a DFT calculation (PBE) of a geometry-optimized Pr8Ni3PdI4 structure.

a = 8.4156 Å, b = 9.4846 Å, c = 8.4255 Å
α = 116.44°, β = 119.96°, γ = 90.00°
Fractional coordinates of all 16 atoms:
Pr (0.2335, 0.6849, 0.9521)
Pr (0.2334, 0.6848, 0.4668)
Pr (0.2723, 0.3175, 0.5446)
Pr (0.7186, 0.6849, 0.9521)
Pr (0.2814, 0.3151, 0.0479)
Pr (0.7277, 0.6825, 0.4554)
Pr (0.7666, 0.3152, 0.5332)
Pr (0.7665, 0.3151, 0.0479)
Ni (0.5000, 0.5000, 0.0000)
Ni (0.5000, 0.5000, 0.5000)
Ni (0.0000, 0.5000, 0.5000)
Pd (0.0000, 0.5000, 0.0000)
I (0.5000, 0.0000, 0.0000)
I (0.5000, 0.0000, 0.5000)
I (0.0000, 0.0000, 0.0000)
I (0.0000, 0.0000, 0.5000)

Computed properties:
- Raw formation energy: -0.71 eV per atom
- Final energy: -4.90 eV/atom
- DOS(E_F): 12.2 states/eV/f.u.

***

The following is a DFT calculation (PBE) of a geometry-optimized Pr3TlRh3 structure.

a = 5.7057 Å, b = 8.8848 Å, c = 8.8848 Å
α = 120.00°, β = 90.00°, γ = 90.00°
Fractional coordinates of all 14 atoms:
Pr (0.7500, 0.6973, 0.6533)
Pr (0.7500, 0.3467, 0.0440)
Pr (0.7500, 0.9560, 0.3027)
Pr (0.2500, 0.3027, 0.3467)
Pr (0.2500, 0.6533, 0.9560)
Pr (0.2500, 0.0440, 0.6973)
Tl (0.2500, 0.6667, 0.3333)
Tl (0.7500, 0.3333, 0.6667)
Rh (0.2500, 0.6794, 0.6443)
Rh (0.2500, 0.3557, 0.0351)
Rh (0.2500, 0.9649, 0.3206)
Rh (0.7500, 0.3206, 0.3557)
Rh (0.7500, 0.6443, 0.9649)
Rh (0.7500, 0.0351, 0.6794)

Computed properties:
- Formation energy from the elements: -0.326 eV per atom
- Final energy: -5.86 eV/atom
- DOS(E_F): 3.3 states/eV/f.u.

***

The following is a DFT calculation (PBE) of a geometry-optimized KRe2C structure.

a = 6.2794 Å, b = 6.2794 Å, c = 6.2802 Å
α = 60.00°, β = 60.00°, γ = 90.00°
Fractional coordinates of all 8 atoms:
Re (0.3752, 0.1250, 0.2500)
Re (0.3748, 0.6250, 0.2500)
Re (0.3750, 0.6248, 0.7500)
Re (0.8750, 0.6252, 0.7500)
K (0.0000, 0.0000, 0.0000)
K (0.7500, 0.2500, 0.5000)
C (0.5000, 0.5000, 0.0000)
C (0.2500, 0.7500, 0.5000)

Computed properties:
- Formation energy from the elements: 1.416 eV per atom
- Final energy: -7.39 eV/atom
- DOS(E_F): 2.6 states/eV/f.u.

***

The following is a DFT calculation (PBE) of a geometry-optimized Hf2BMoCl structure.

a = 4.7109 Å, b = 3.9746 Å, c = 4.7109 Å
α = 90.00°, β = 90.00°, γ = 90.00°
Fractional coordinates of all 5 atoms:
Mo (0.5000, 0.5000, 0.5000)
B (0.0000, 0.0000, 0.0000)
Hf (0.0000, 0.0000, 0.5000)
Hf (0.5000, 0.0000, 0.0000)
Cl (0.0000, 0.5000, 0.0000)

Computed properties:
- Raw formation energy: 0.82 eV per atom
- Final energy: -7.04 eV/atom
- DOS(E_F): 6.0 states/eV/f.u.

***

The following is a DFT calculation (PBE) of a geometry-optimized SnTeSeN2 structure.

a = 4.1809 Å, b = 4.1809 Å, c = 5.5823 Å
α = 90.00°, β = 90.00°, γ = 90.00°
Fractional coordinates of all 5 atoms:
Te (0.0000, 0.0000, 0.5000)
Sn (0.5000, 0.5000, 0.5000)
Se (0.0000, 0.0000, 0.0000)
N (0.0000, 0.5000, 0.0000)
N (0.5000, 0.0000, 0.0000)

Computed properties:
- Raw formation energy: 1.51 eV per atom
- Final energy: -3.94 eV/atom
- DOS(E_F): 3.0 states/eV/f.u.
- Excess energy over the best structure of this formula in the dataset: 1.95 eV/f.u.

***

The following is a DFT calculation (PBE) of a geometry-optimized K2Sr2Mg structure.

a = 11.4431 Å, b = 11.4431 Å, c = 11.4431 Å
α = 152.97°, β = 152.97°, γ = 38.59°
Fractional coordinates of all 5 atoms:
K (0.5881, 0.5881, 0.0000)
K (0.4119, 0.4119, 0.0000)
Sr (0.2500, 0.7500, 0.5000)
Sr (0.7500, 0.2500, 0.5000)
Mg (0.0000, 0.0000, 0.0000)

Computed properties:
- Formation energy from the elements: 0.382 eV per atom
- Final energy: -1.05 eV/atom
- DOS(E_F): 4.7 states/eV/f.u.
- Excess energy over the best structure of this formula in the dataset: 0.80 eV/f.u.

***

The following is a DFT calculation (PBE) of a geometry-optimized LaLuMgMn structure.

a = 5.2557 Å, b = 5.2557 Å, c = 5.2557 Å
α = 60.00°, β = 60.00°, γ = 60.00°
Fractional coordinates of all 4 atoms:
Mg (0.0000, 0.0000, 0.0000)
Lu (0.2500, 0.2500, 0.2500)
Mn (0.5000, 0.5000, 0.5000)
La (0.7500, 0.7500, 0.7500)

Computed properties:
- Formation energy from the elements: 0.113 eV per atom
- Final energy: -4.94 eV/atom
- DOS(E_F): 4.9 states/eV/f.u.

***

The following is a DFT calculation (PBE) of a geometry-optimized La2RhBr structure.

a = 4.6497 Å, b = 5.9589 Å, c = 3.7137 Å
α = 90.00°, β = 90.00°, γ = 90.00°
Fractional coordinates of all 4 atoms:
Rh (0.5000, 0.0000, 0.5000)
Br (0.0000, 0.5000, 0.5000)
La (0.0000, 0.0000, 0.0000)
La (0.5000, 0.5000, 0.0000)

Computed properties:
- Raw formation energy: -0.83 eV per atom
- Final energy: -5.55 eV/atom
- DOS(E_F): 3.3 states/eV/f.u.
- Excess energy over the best structure of this formula in the dataset: 1.44 eV/f.u.

***

The following is a DFT calculation (PBE) of a geometry-optimized Li2CaMg3 structure.

a = 3.5718 Å, b = 3.5718 Å, c = 11.2777 Å
α = 90.00°, β = 90.00°, γ = 90.00°
Fractional coordinates of all 6 atoms:
Li (0.5000, 0.5000, 0.8530)
Li (0.5000, 0.5000, 0.1470)
Ca (0.5000, 0.5000, 0.5000)
Mg (0.0000, 0.0000, 0.0000)
Mg (0.0000, 0.0000, 0.7112)
Mg (0.0000, 0.0000, 0.2888)

Computed properties:
- Formation energy from the elements: -0.059 eV per atom
- Final energy: -1.83 eV/atom
- DOS(E_F): 3.2 states/eV/f.u.
- Excess energy over the best structure of this formula in the dataset: 0.00 eV/f.u.

***

The following is a DFT calculation (PBE) of a geometry-optimized CuHgCl2 structure.

a = 9.2645 Å, b = 9.2645 Å, c = 9.2645 Å
α = 160.14°, β = 158.84°, γ = 29.18°
Fractional coordinates of all 4 atoms:
Hg (0.3107, 0.8107, 0.5000)
Cu (0.5555, 0.5555, 0.0000)
Cl (0.9866, 0.9866, 0.0000)
Cl (0.6472, 0.1472, 0.5000)

Computed properties:
- Raw formation energy: -0.24 eV per atom
- Final energy: -2.26 eV/atom
- DOS(E_F): 2.8 states/eV/f.u.
- Excess energy over the best structure of this formula in the dataset: 0.52 eV/f.u.

***

The following is a DFT calculation (PBE) of a geometry-optimized Pm8MgHg2 structure.

a = 5.5331 Å, b = 8.7495 Å, c = 8.7219 Å
α = 119.75°, β = 108.49°, γ = 90.00°
Fractional coordinates of all 11 atoms:
Pm (0.5936, 0.4543, 0.1872)
Pm (0.3188, 0.0519, 0.6375)
Pm (0.1393, 0.1943, 0.2786)
Pm (0.0694, 0.7246, 0.1387)
Pm (0.8607, 0.8057, 0.7214)
Pm (0.6812, 0.9481, 0.3625)
Pm (0.4064, 0.5457, 0.8128)
Pm (0.9306, 0.2754, 0.8613)
Mg (0.5000, 0.0000, 0.0000)
Hg (0.2309, 0.6280, 0.4618)
Hg (0.7691, 0.3720, 0.5382)

Computed properties:
- Formation energy from the elements: -0.174 eV per atom
- Final energy: -3.83 eV/atom
- DOS(E_F): 11.0 states/eV/f.u.
- Excess energy over the best structure of this formula in the dataset: 0.00 eV/f.u.